Model a:
Below is an optimized crystal structure of Er6Zn2Pd, with properties calculated at the PBE level.

Geometry as POSCAR:
```
Er6Zn2Pd
1.0
-1.646 -4.555 -0.787
4.297 -2.391 4.851
-6.478 4.454 3.016
Er Zn Pd
6 2 1
Direct
0.163 0.412 0.327 Er
0.837 0.086 0.673 Er
0.837 0.588 0.673 Er
0.500 0.247 0.000 Er
0.163 0.914 0.327 Er
0.500 0.753 0.000 Er
0.667 0.667 0.335 Zn
0.333 0.333 0.665 Zn
0.000 0.000 0.000 Pd
```

- N(E_F) (states/eV per atom) = 1.15
- symmetry = C2/m (12)

Model b:
Below is an optimized crystal structure of Er6Zn2Pd, with properties calculated at the PBE level.

Geometry as POSCAR:
```
Er6Zn2Pd
1.0
7.842 0.356 -2.878
-3.935 6.887 -2.645
-0.103 -0.356 8.353
Er Zn Pd
12 4 2
Direct
0.567 0.743 0.824 Er
0.433 0.257 0.176 Er
0.081 0.257 0.824 Er
0.919 0.743 0.176 Er
0.808 0.741 0.549 Er
0.192 0.259 0.451 Er
0.192 0.741 0.933 Er
0.808 0.259 0.067 Er
0.718 0.394 0.676 Er
0.282 0.606 0.324 Er
0.282 0.957 0.676 Er
0.718 0.043 0.324 Er
0.500 0.373 0.873 Zn
0.500 0.627 0.127 Zn
0.638 0.000 0.638 Zn
0.362 0.000 0.362 Zn
0.000 0.500 0.500 Pd
0.000 0.000 0.000 Pd
```

- N(E_F) (states/eV per atom) = 0.98
- symmetry = Immm (71)

Winner for stability: model b

Model a:
Below is an optimized crystal structure of ErZnPd5, with properties calculated at the PBE level.

Geometry as POSCAR:
```
ErZnPd5
1.0
4.134 0.000 0.000
0.000 4.134 0.000
0.000 0.000 7.056
Er Zn Pd
1 1 5
Direct
0.000 0.000 0.500 Er
0.500 0.500 0.000 Zn
0.000 0.500 0.785 Pd
0.000 0.500 0.215 Pd
0.500 0.000 0.785 Pd
0.500 0.000 0.215 Pd
0.500 0.500 0.500 Pd
```

- N(E_F) (states/eV per atom) = 0.82
- symmetry = P4/mmm (123)

Model b:
Below is an optimized crystal structure of ErZnPd5, with properties calculated at the PBE level.

Geometry as POSCAR:
```
ErZnPd5
1.0
-3.768 3.396 -5.433
-2.345 -1.886 -6.797
-9.611 -1.181 -5.458
Er Zn Pd
2 2 10
Direct
0.758 0.242 0.250 Er
0.242 0.758 0.750 Er
0.000 0.000 0.000 Zn
0.000 0.000 0.500 Zn
0.729 0.742 0.144 Pd
0.258 0.271 0.614 Pd
0.742 0.729 0.644 Pd
0.240 0.760 0.250 Pd
0.729 0.742 0.886 Pd
0.271 0.258 0.114 Pd
0.760 0.240 0.750 Pd
0.258 0.271 0.356 Pd
0.742 0.729 0.386 Pd
0.271 0.258 0.856 Pd
```

- N(E_F) (states/eV per atom) = 0.46
- symmetry = C2/c (15)

Winner for stability: model a